(1)
Below is crystalline Sm2P3PtRh4 at its relaxed geometry, with properties calculated at the PBE-GGA level.

energy = -7.047 eV per atom
symmetry = No. 115

```
10
Lattice="-1.471 -3.708 -0.267 0.901 -0.077 -3.894 9.623 -3.983 2.306" Properties=species:S:1:pos:R:3 pbc="T T T"
Rh 3.657 -1.365 -1.179
Rh 0.000 0.000 0.000
Rh -0.285 -1.892 -2.081
Rh 5.682 -4.510 1.404
Sm 7.569 -2.985 -0.242
Sm 1.769 -2.890 0.466
Pt 4.527 -3.884 -0.928
P 7.687 -5.340 1.884
P 1.651 -0.535 -1.659
P 4.812 -1.991 1.153
```

---

(2)
Below is crystalline SmPPtRh at its relaxed geometry, with properties calculated at the PBE-GGA level.

energy = -6.967 eV per atom
symmetry = No. 129

```
8
Lattice="-2.118 -1.241 -3.057 3.066 0.601 -2.368 2.919 -8.797 1.549" Properties=species:S:1:pos:R:3 pbc="T T T"
P 0.833 -6.323 -0.525
P 2.560 -2.795 -0.639
Rh 1.934 -4.719 -1.938
Rh 1.460 -4.399 0.774
Sm 3.796 -6.520 0.017
Sm -0.403 -2.597 -1.180
Pt 1.808 -0.528 -1.038
Pt 1.586 -8.589 -0.126
```

---

Energy of formation from the pure elements
In order: -0.9351; -1.0872
Unit: eV per atom